*one*
A plane-wave DFT calculation with PBE was carried out for a relaxed MnHg2Pd2 crystal.

The structure in CIF format:
```
data_MnHg2Pd2
_space_group_name_H-M_alt 'P 4/m b m'
_space_group_IT_number 127
_space_group_name_Hall '-P 4 2ab'
_cell_length_a 7.388
_cell_length_b 7.388
_cell_length_c 3.479
_cell_angle_alpha 90.00
_cell_angle_beta 90.00
_cell_angle_gamma 90.00
loop_
_atom_site_label
_atom_site_fract_x
_atom_site_fract_y
_atom_site_fract_z
_atom_site_occupancy
Mn1 0.000 0.000 0.000 1
Hg1 0.141 0.359 0.000 1
Pd1 0.160 0.660 0.500 1
```

*two*
A plane-wave DFT calculation with PBE was carried out for a relaxed MnHg2Pd2 crystal.

The structure in CIF format:
```
data_MnHg2Pd2
_space_group_name_H-M_alt 'I 4/m m m'
_space_group_IT_number 139
_space_group_name_Hall '-I 4 2'
_cell_length_a 3.818
_cell_length_b 3.818
_cell_length_c 13.700
_cell_angle_alpha 90.00
_cell_angle_beta 90.00
_cell_angle_gamma 90.00
loop_
_atom_site_label
_atom_site_fract_x
_atom_site_fract_y
_atom_site_fract_z
_atom_site_occupancy
Mn1 0.000 0.000 0.000 1
Hg1 0.000 0.000 0.398 1
Pd1 0.000 0.500 0.250 1
```

*three*
A plane-wave DFT calculation with PBE was carried out for a relaxed MnHg2Pd2 crystal.

The structure in CIF format:
```
data_MnHg2Pd2
_space_group_name_H-M_alt 'P 4/m b m'
_space_group_IT_number 127
_space_group_name_Hall '-P 4 2ab'
_cell_length_a 6.814
_cell_length_b 6.814
_cell_length_c 4.058
_cell_angle_alpha 90.00
_cell_angle_beta 90.00
_cell_angle_gamma 90.00
loop_
_atom_site_label
_atom_site_fract_x
_atom_site_fract_y
_atom_site_fract_z
_atom_site_occupancy
Mn1 0.000 0.000 0.000 1
Hg1 0.164 0.336 0.500 1
Pd1 0.141 0.641 0.000 1
```

Computed stability ranking, most favorable first: *three*, *one*, *two*